Record 1
Crystalline Tb2YF11 at its relaxed geometry. Source: the Alexandria database, functional PBE.

Computed properties:
**Energy relative to the elements, uncorrected**: -3.45 eV per atom
**Total energy**: -0.444 Ry per atom

```
data_Tb2YF11
_chemical_formula_sum 'Tb4 Y2 F22'
_symmetry_space_group_name_H-M 'P 1'
_symmetry_Int_Tables_number 1
_symmetry_space_group_name_Hall 'P 1'
_cell_length_a 8.675
_cell_length_b 8.675
_cell_length_c 8.675
_cell_angle_alpha 122.01
_cell_angle_beta 107.47
_cell_angle_gamma 99.77
loop_
_atom_site_label
_atom_site_fract_x
_atom_site_fract_y
_atom_site_fract_z
Tb1 0.190 0.160 0.350
Tb2 0.310 0.660 0.970
Tb3 0.690 0.340 0.030
Tb4 0.810 0.840 0.650
Y1 0.250 0.750 0.500
Y2 0.750 0.250 0.500
F1 0.000 0.000 0.000
F2 0.027 0.458 0.772
F3 0.058 0.839 0.629
F4 0.186 0.958 0.431
F5 0.193 0.891 0.084
F6 0.210 0.429 0.371
F7 0.290 0.661 0.219
F8 0.307 0.391 0.698
F9 0.314 0.745 0.772
F10 0.442 0.071 0.781
F11 0.473 0.245 0.431
F12 0.500 0.500 0.000
F13 0.527 0.755 0.569
F14 0.558 0.929 0.219
F15 0.686 0.255 0.228
F16 0.693 0.609 0.302
F17 0.710 0.339 0.781
F18 0.790 0.571 0.629
F19 0.807 0.109 0.916
F20 0.814 0.042 0.569
F21 0.942 0.161 0.371
F22 0.973 0.542 0.228
```

---

Record 2
Crystalline TbY3F at its relaxed geometry. Source: the Alexandria database, functional PBE.

Computed properties:
**Energy relative to the elements, uncorrected**: -0.91 eV per atom
**Total energy**: -0.448 Ry per atom

```
data_TbY3F
_chemical_formula_sum 'Tb1 Y3 F1'
_symmetry_space_group_name_H-M 'P 1'
_symmetry_Int_Tables_number 1
_symmetry_space_group_name_Hall 'P 1'
_cell_length_a 5.067
_cell_length_b 5.067
_cell_length_c 5.067
_cell_angle_alpha 90.00
_cell_angle_beta 90.00
_cell_angle_gamma 90.00
loop_
_atom_site_label
_atom_site_fract_x
_atom_site_fract_y
_atom_site_fract_z
Tb1 0.000 0.000 0.000
Y1 0.000 0.500 0.500
Y2 0.500 0.000 0.500
Y3 0.500 0.500 0.000
F1 0.500 0.500 0.500
```

---

Record 3
Crystalline TbY2F11 at its relaxed geometry. Source: the Alexandria database, functional PBE.

Computed properties:
**Energy relative to the elements, uncorrected**: -3.44 eV per atom
**Total energy**: -0.453 Ry per atom

```
data_TbY2F11
_chemical_formula_sum 'Tb2 Y4 F22'
_symmetry_space_group_name_H-M 'P 1'
_symmetry_Int_Tables_number 1
_symmetry_space_group_name_Hall 'P 1'
_cell_length_a 8.670
_cell_length_b 8.670
_cell_length_c 8.670
_cell_angle_alpha 122.11
_cell_angle_beta 107.45
_cell_angle_gamma 99.70
loop_
_atom_site_label
_atom_site_fract_x
_atom_site_fract_y
_atom_site_fract_z
Tb1 0.250 0.250 0.000
Tb2 0.750 0.750 0.000
Y1 0.190 0.660 0.850
Y2 0.310 0.160 0.471
Y3 0.690 0.840 0.529
Y4 0.810 0.340 0.150
F1 0.000 0.500 0.500
F2 0.028 0.959 0.272
F3 0.058 0.340 0.130
F4 0.187 0.459 0.931
F5 0.193 0.392 0.585
F6 0.210 0.928 0.870
F7 0.290 0.160 0.718
F8 0.307 0.892 0.198
F9 0.313 0.245 0.272
F10 0.442 0.572 0.282
F11 0.472 0.745 0.931
F12 0.500 0.000 0.500
F13 0.528 0.255 0.069
F14 0.558 0.428 0.718
F15 0.687 0.755 0.728
F16 0.693 0.108 0.802
F17 0.710 0.840 0.282
F18 0.790 0.072 0.130
F19 0.807 0.608 0.415
F20 0.813 0.541 0.069
F21 0.942 0.660 0.870
F22 0.972 0.041 0.728
```

---

Record 4
Crystalline Tb2YF8 at its relaxed geometry. Source: the Alexandria database, functional PBE.

Computed properties:
**Energy relative to the elements, uncorrected**: -3.87 eV per atom
**Total energy**: -0.490 Ry per atom

```
data_Tb2YF8
_chemical_formula_sum 'Tb2 Y1 F8'
_symmetry_space_group_name_H-M 'P 1'
_symmetry_Int_Tables_number 1
_symmetry_space_group_name_Hall 'P 1'
_cell_length_a 7.821
_cell_length_b 7.821
_cell_length_c 5.630
_cell_angle_alpha 109.75
_cell_angle_beta 109.75
_cell_angle_gamma 26.64
loop_
_atom_site_label
_atom_site_fract_x
_atom_site_fract_y
_atom_site_fract_z
Tb1 0.179 0.179 0.181
Tb2 0.821 0.821 0.819
Y1 0.500 0.500 0.500
F1 0.048 0.048 0.283
F2 0.221 0.221 0.829
F3 0.320 0.320 0.540
F4 0.402 0.402 0.060
F5 0.598 0.598 0.940
F6 0.680 0.680 0.460
F7 0.779 0.779 0.171
F8 0.952 0.952 0.717
```

---

Record 5
Crystalline TbY2F at its relaxed geometry. Source: the Alexandria database, functional PBE.

Computed properties:
**Energy relative to the elements, uncorrected**: -1.14 eV per atom
**Total energy**: -0.441 Ry per atom

```
data_TbY2F
_chemical_formula_sum 'Tb1 Y2 F1'
_symmetry_space_group_name_H-M 'P 1'
_symmetry_Int_Tables_number 1
_symmetry_space_group_name_Hall 'P 1'
_cell_length_a 8.787
_cell_length_b 8.787
_cell_length_c 8.787
_cell_angle_alpha 24.19
_cell_angle_beta 24.19
_cell_angle_gamma 24.19
loop_
_atom_site_label
_atom_site_fract_x
_atom_site_fract_y
_atom_site_fract_z
Tb1 0.000 0.000 0.000
Y1 0.223 0.223 0.223
Y2 0.777 0.777 0.777
F1 0.500 0.500 0.500
```

---

Record 6
Crystalline TbZn2F8 at its relaxed geometry. Source: the Alexandria database, functional PBE.

Computed properties:
**Energy relative to the elements, uncorrected**: -2.67 eV per atom
**Total energy**: -0.345 Ry per atom

```
data_TbZn2F8
_chemical_formula_sum 'Tb1 Zn2 F8'
_symmetry_space_group_name_H-M 'P 1'
_symmetry_Int_Tables_number 1
_symmetry_space_group_name_Hall 'P 1'
_cell_length_a 6.525
_cell_length_b 6.525
_cell_length_c 6.525
_cell_angle_alpha 130.43
_cell_angle_beta 130.43
_cell_angle_gamma 72.72
loop_
_atom_site_label
_atom_site_fract_x
_atom_site_fract_y
_atom_site_fract_z
Tb1 0.000 0.000 0.000
Zn1 0.250 0.750 0.500
Zn2 0.750 0.250 0.500
F1 0.038 0.573 0.863
F2 0.174 0.038 0.465
F3 0.290 0.427 0.465
F4 0.427 0.962 0.137
F5 0.573 0.710 0.535
F6 0.710 0.174 0.137
F7 0.826 0.290 0.863
F8 0.962 0.826 0.535
```

---

Record 7
Crystalline Tb2ZnF8 at its relaxed geometry. Source: the Alexandria database, functional PBE.

Computed properties:
**Energy relative to the elements, uncorrected**: -3.62 eV per atom
**Total energy**: -0.437 Ry per atom

```
data_Tb2ZnF8
_chemical_formula_sum 'Tb2 Zn1 F8'
_symmetry_space_group_name_H-M 'P 1'
_symmetry_Int_Tables_number 1
_symmetry_space_group_name_Hall 'P 1'
_cell_length_a 5.995
_cell_length_b 5.995
_cell_length_c 4.636
_cell_angle_alpha 104.52
_cell_angle_beta 104.52
_cell_angle_gamma 73.47
loop_
_atom_site_label
_atom_site_fract_x
_atom_site_fract_y
_atom_site_fract_z
Tb1 0.176 0.176 0.385
Tb2 0.824 0.824 0.615
Zn1 0.500 0.500 0.000
F1 0.078 0.078 0.797
F2 0.158 0.545 0.730
F3 0.365 0.365 0.238
F4 0.455 0.842 0.270
F5 0.545 0.158 0.730
F6 0.635 0.635 0.762
F7 0.842 0.455 0.270
F8 0.922 0.922 0.203
```

---

Record 8
Crystalline TbZnF5 at its relaxed geometry. Source: the Alexandria database, functional PBE.

Computed properties:
**Energy relative to the elements, uncorrected**: -3.34 eV per atom
**Total energy**: -0.405 Ry per atom

```
data_TbZnF5
_chemical_formula_sum 'Tb2 Zn2 F10'
_symmetry_space_group_name_H-M 'P 1'
_symmetry_Int_Tables_number 1
_symmetry_space_group_name_Hall 'P 1'
_cell_length_a 5.664
_cell_length_b 5.664
_cell_length_c 7.623
_cell_angle_alpha 109.37
_cell_angle_beta 109.37
_cell_angle_gamma 73.38
loop_
_atom_site_label
_atom_site_fract_x
_atom_site_fract_y
_atom_site_fract_z
Tb1 0.054 0.946 0.750
Tb2 0.946 0.054 0.250
Zn1 0.500 0.500 0.000
Zn2 0.500 0.500 0.500
F1 0.176 0.805 0.035
F2 0.195 0.824 0.465
F3 0.236 0.286 0.376
F4 0.286 0.236 0.876
F5 0.389 0.611 0.750
F6 0.611 0.389 0.250
F7 0.714 0.764 0.124
F8 0.764 0.714 0.624
F9 0.805 0.176 0.535
F10 0.824 0.195 0.965
```

---

Which formula does entry 1 have? Tb2YF11

---

Repeat the seventh record exactly.
Crystalline Tb2ZnF8 at its relaxed geometry. Source: the Alexandria database, functional PBE.

Computed properties:
**Energy relative to the elements, uncorrected**: -3.62 eV per atom
**Total energy**: -0.437 Ry per atom

```
data_Tb2ZnF8
_chemical_formula_sum 'Tb2 Zn1 F8'
_symmetry_space_group_name_H-M 'P 1'
_symmetry_Int_Tables_number 1
_symmetry_space_group_name_Hall 'P 1'
_cell_length_a 5.995
_cell_length_b 5.995
_cell_length_c 4.636
_cell_angle_alpha 104.52
_cell_angle_beta 104.52
_cell_angle_gamma 73.47
loop_
_atom_site_label
_atom_site_fract_x
_atom_site_fract_y
_atom_site_fract_z
Tb1 0.176 0.176 0.385
Tb2 0.824 0.824 0.615
Zn1 0.500 0.500 0.000
F1 0.078 0.078 0.797
F2 0.158 0.545 0.730
F3 0.365 0.365 0.238
F4 0.455 0.842 0.270
F5 0.545 0.158 0.730
F6 0.635 0.635 0.762
F7 0.842 0.455 0.270
F8 0.922 0.922 0.203
```